Below is a geometry-optimized AcLuAlGa structure, with properties calculated at the PBE level.

Computed properties:
total magnetization	0.00	μB/f.u.
ΔH_f (0 K)	-0.339	eV/atom

Cell: 5.2927 5.2927 5.2927 Å, 60.00 60.00 60.00°
With the nearest neighbours (Å) after each atom.
Positions (direct):
1 Al 0.0000 0.0000 0.0000  4 Ac 3.24, 4 Lu 3.24
2 Ga 0.5000 0.5000 0.5000  4 Lu 3.24, 4 Ac 3.24
3 Lu 0.7500 0.7500 0.7500  4 Al 3.24, 4 Ga 3.24
4 Ac 0.2500 0.2500 0.2500  4 Al 3.24, 4 Ga 3.24



Below is a geometry-optimized LaRe2W structure, with properties calculated at the PBE level.

Computed properties:
total magnetization	0.00	μB/f.u.
energy relative to the lowest polymorph listed for this composition	0	meV/atom
ΔH_f (0 K)	0.336	eV/atom

Cell: 3.1752 3.1752 7.5993 Å, 90.00 90.00 90.00°
With the nearest neighbours (Å) after each atom.
Positions (direct):
1 La 0.5000 0.5000 0.7500  4 La 3.18, 8 Re 3.23
2 W 0.5000 0.5000 0.2500  8 Re 2.69
3 Re 0.0000 0.0000 0.4444  4 W 2.69, 1 Re 2.95
4 Re 0.0000 0.0000 0.0556  4 W 2.69, 1 Re 2.95



Below is a geometry-optimized LiMnSi structure, with properties calculated at the PBE level.

Computed properties:
total magnetization	3.62	μB/f.u.
energy relative to the elements, uncorrected	0.326	eV/atom

Cell: 3.9616 3.9616 3.9616 Å, 60.00 60.00 60.00°
With the nearest neighbours (Å) after each atom.
Positions (direct):
1 Li 0.7500 0.7500 0.7500  4 Mn 2.43, 4 Si 2.43
2 Si 0.5000 0.5000 0.5000  4 Li 2.43
3 Mn 0.0000 0.0000 0.0000  4 Li 2.43